(1)
VASP calculation (PBE) on crystalline Ca2TlI at its relaxed geometry.

Cell: 7.9817 7.9817 7.9817 Å, 90.00 90.00 90.00°
With the nearest neighbours (Å) after each atom.
Space group Fm-3m (No. 225)
Asymmetric unit:
Ca1 0.2500 0.2500 0.2500 (multiplicity 8)  4 Tl 3.46, 4 I 3.46
Tl1 0.0000 0.0000 0.0000 (multiplicity 4)  8 Ca 3.46
I1 0.0000 0.0000 0.5000 (multiplicity 4)  8 Ca 3.46

Formation energy (no corrections) = -0.47 eV per atom
Excess energy over the best structure of this formula in the dataset = 286 meV/atom
DOS at the Fermi energy = 1.51 states/eV per atom

(2)
VASP calculation (PBE) on crystalline Be2AlTc at its relaxed geometry.

Cell: 3.0256 3.0256 5.1405 Å, 90.00 90.00 90.00°
With the nearest neighbours (Å) after each atom.
Space group P4/mmm (No. 123)
Asymmetric unit:
Be1 0.0000 0.0000 0.2150 (multiplicity 2)  1 Be 2.21, 4 Tc 2.41
Al1 0.5000 0.5000 0.5000 (multiplicity 1)  2 Tc 2.57, 8 Be 2.59
Tc1 0.5000 0.5000 0.0000 (multiplicity 1)  8 Be 2.41, 2 Al 2.57

ΔH_f (0 K) = -83 meV/atom
DOS at the Fermi energy = 0.59 states/eV per atom

(3)
VASP calculation (PBE) on crystalline Ti3CdBr at its relaxed geometry.

Cell: 5.1538 5.1538 5.1538 Å, 90.00 90.00 90.00°
With the nearest neighbours (Å) after each atom.
Space group Pm-3m (No. 221)
Asymmetric unit:
Ti1 0.0000 0.0000 0.5000 (multiplicity 3)  2 Cd 2.58
Cd1 0.0000 0.0000 0.0000 (multiplicity 1)  6 Ti 2.58
Br1 0.5000 0.5000 0.5000 (multiplicity 1)  12 Ti 3.64

Formation energy (no corrections) = 1.12 eV per atom
Excess energy over the best structure of this formula in the dataset = 696 meV/atom
DOS at the Fermi energy = 2.10 states/eV per atom

(4)
VASP calculation (PBE) on crystalline BaBiO3 at its relaxed geometry.

Cell: 10.7780 6.2311 6.2828 Å, 90.00 125.29 90.00°
With the nearest neighbours (Å) after each atom.
Space group C2/m (No. 12)
Asymmetric unit:
Ba1 0.2489 0.0000 0.2408 (multiplicity 4)  5 O 2.72-2.86
Bi1 0.0000 0.0000 0.5000 (multiplicity 2)  6 O 2.31-2.32
Bi2 0.0000 0.5000 0.0000 (multiplicity 2)  6 O 2.17-2.18
O1 0.0419 0.2559 0.8015 (multiplicity 8)  2 Bi 2.17-2.31
O2 0.2413 0.5000 0.3162 (multiplicity 4)  2 Bi 2.18-2.32

Formation energy (no corrections) = -1.81 eV per atom
DOS at the Fermi energy = 0.03 states/eV per atom

(5)
VASP calculation (PBE) on crystalline TmThMg at its relaxed geometry.

Cell: 3.4755 3.4755 14.4281 Å, 90.00 90.00 90.00°
With the nearest neighbours (Å) after each atom.
Space group P4/nmm (No. 129, origin choice 2)
Asymmetric unit:
Tm1 0.2500 0.2500 0.0833 (multiplicity 2)  4 Mg 3.33, 8 Tm 3.44-3.48
Th1 0.2500 0.2500 0.4086 (multiplicity 2)  4 Mg 3.47, 8 Th 3.48-3.61
Mg1 0.2500 0.2500 0.7608 (multiplicity 2)  4 Tm 3.33, 4 Th 3.47, 4 Mg 3.48

ΔH_f (0 K) = 9 meV/atom
Excess energy over the best structure of this formula in the dataset = 28 meV/atom
DOS at the Fermi energy = 1.07 states/eV per atom

(6)
VASP calculation (PBE) on crystalline Ca4Ti3O10 at its relaxed geometry.

Cell: 5.4440 5.5274 27.1756 Å, 90.00 90.00 90.00°
With the nearest neighbours (Å) after each atom.
Space group Pbca (No. 61)
Asymmetric unit:
Ca1 0.0057 0.0400 0.0694 (multiplicity 8)  5 O 2.37-2.61
Ca2 0.0070 0.5462 0.7052 (multiplicity 8)  6 O 2.31-2.55
Ti1 0.0000 0.0000 0.5000 (multiplicity 4)  6 O 1.96-1.99
Ti2 0.0019 0.0139 0.6427 (multiplicity 8)  6 O 1.91-2.08
O1 0.0686 0.5229 0.2125 (multiplicity 8)  1 Ti 1.94
O2 0.0748 0.5180 0.9295 (multiplicity 8)  2 Ti 1.96-2.01
O3 0.2089 0.7131 0.3479 (multiplicity 8)  2 Ti 1.91-2.05
O4 0.2099 0.7047 0.6306 (multiplicity 8)  2 Ti 1.92-2.08
O5 0.2096 0.7099 0.5110 (multiplicity 8)  2 Ti 1.98-1.99

Formation energy (no corrections) = -3.12 eV per atom
DOS at the Fermi energy = 0.00 states/eV per atom